Entry 1:
The following is a GGA-PBE calculation of a geometry-optimized DyY2Mg4 structure, from Alexandria via LeMat-Bulk.

Lattice parameters (Å, degrees): 8.951 8.951 8.951 143.96 143.96 51.88
Element x y z (fractional)
Dy 0.000 0.000 0.000
Y 0.396 0.396 0.000
Y 0.604 0.604 0.000
Mg 0.000 0.500 0.500
Mg 0.189 0.189 0.000
Mg 0.500 0.000 0.500
Mg 0.811 0.811 0.000

Results
The formation energy comes out at 599 meV/atom. The value obtained for the total energy is -0.2070 Ry per atom. The calculation puts the offset from the most stable computed form at 472 meV per atom.

Entry 2:
The following is a GGA-PBE calculation of a geometry-optimized Dy2YMg8 structure, from Alexandria via LeMat-Bulk.

Lattice parameters (Å, degrees): 8.372 8.372 7.309 107.47 107.47 34.95
Element x y z (fractional)
Dy 0.222 0.222 0.140
Dy 0.778 0.778 0.860
Y 0.500 0.500 0.500
Mg 0.027 0.027 0.218
Mg 0.141 0.141 0.653
Mg 0.322 0.322 0.604
Mg 0.411 0.411 0.035
Mg 0.589 0.589 0.965
Mg 0.678 0.678 0.396
Mg 0.859 0.859 0.347
Mg 0.973 0.973 0.782

Results
The formation energy comes out at -41 meV/atom. The value obtained for the total energy is -0.1930 Ry per atom.

Entry 3:
The following is a GGA-PBE calculation of a geometry-optimized DyY6Mg5 structure, from Alexandria via LeMat-Bulk.

Lattice parameters (Å, degrees): 5.379 7.776 8.554 90.00 108.33 90.00
Element x y z (fractional)
Dy 0.000 0.000 0.000
Y 0.169 0.254 0.340
Y 0.169 0.746 0.340
Y 0.500 0.262 0.000
Y 0.500 0.738 0.000
Y 0.831 0.254 0.660
Y 0.831 0.746 0.660
Mg 0.000 0.500 0.000
Mg 0.335 0.500 0.666
Mg 0.339 0.000 0.676
Mg 0.661 0.000 0.324
Mg 0.665 0.500 0.334

Results
The formation energy comes out at -47 meV/atom. The value obtained for the total energy is -0.3180 Ry per atom.

Entry 4:
The following is a GGA-PBE calculation of a geometry-optimized Dy2Y7Mg2 structure, from Alexandria via LeMat-Bulk.

Lattice parameters (Å, degrees): 6.539 6.539 8.499 102.33 102.33 96.41
Element x y z (fractional)
Dy 0.181 0.819 0.000
Dy 0.819 0.181 0.000
Y 0.022 0.383 0.680
Y 0.355 0.355 0.082
Y 0.383 0.022 0.680
Y 0.500 0.500 0.500
Y 0.617 0.978 0.320
Y 0.645 0.645 0.918
Y 0.978 0.617 0.320
Mg 0.116 0.116 0.333
Mg 0.884 0.884 0.667

Results
The formation energy comes out at 50 meV/atom. The value obtained for the total energy is -0.3815 Ry per atom.

Entry 5:
The following is a GGA-PBE calculation of a geometry-optimized Dy8Y4Mg structure, from Alexandria via LeMat-Bulk.

Lattice parameters (Å, degrees): 6.125 6.125 14.537 94.27 94.27 48.18
Element x y z (fractional)
Dy 0.036 0.036 0.382
Dy 0.198 0.198 0.924
Dy 0.270 0.270 0.695
Dy 0.419 0.419 0.227
Dy 0.581 0.581 0.773
Dy 0.730 0.730 0.305
Dy 0.802 0.802 0.076
Dy 0.964 0.964 0.618
Y 0.111 0.111 0.152
Y 0.346 0.346 0.461
Y 0.654 0.654 0.539
Y 0.889 0.889 0.848
Mg 0.500 0.500 0.000

Results
The formation energy comes out at 25 meV/atom. The value obtained for the total energy is -0.3615 Ry per atom.

Entry 6:
The following is a GGA-PBE calculation of a geometry-optimized DyYMg structure, from Alexandria via LeMat-Bulk.

Lattice parameters (Å, degrees): 3.698 5.460 8.792 90.00 102.16 90.00
Element x y z (fractional)
Dy 0.227 0.250 0.455
Dy 0.773 0.750 0.545
Y 0.091 0.750 0.183
Y 0.909 0.250 0.817
Mg 0.434 0.750 0.866
Mg 0.566 0.250 0.134

Results
The formation energy comes out at -79 meV/atom. The value obtained for the total energy is -0.3160 Ry per atom. The calculation puts the offset from the most stable computed form at 0 meV per atom.

Entry 7:
The following is a GGA-PBE calculation of a geometry-optimized DyY6Mg2 structure, from Alexandria via LeMat-Bulk.

Lattice parameters (Å, degrees): 6.635 6.635 12.008 107.29 107.29 32.85
Element x y z (fractional)
Dy 0.000 0.000 0.000
Y 0.017 0.017 0.341
Y 0.313 0.313 0.416
Y 0.319 0.319 0.123
Y 0.681 0.681 0.877
Y 0.687 0.687 0.584
Y 0.983 0.983 0.659
Mg 0.351 0.351 0.791
Mg 0.649 0.649 0.209

Results
The formation energy comes out at -28 meV/atom. The value obtained for the total energy is -0.3824 Ry per atom.

Entry 8:
The following is a GGA-PBE calculation of a geometry-optimized DyY14Mg structure, from Alexandria via LeMat-Bulk.

Lattice parameters (Å, degrees): 11.127 6.930 6.930 73.11 90.00 90.00
Element x y z (fractional)
Dy 0.000 0.000 0.000
Y 0.000 0.512 0.962
Y 0.000 0.962 0.512
Y 0.241 0.298 0.720
Y 0.241 0.720 0.298
Y 0.253 0.789 0.789
Y 0.255 0.231 0.231
Y 0.500 0.440 0.440
Y 0.500 0.505 0.926
Y 0.500 0.926 0.505
Y 0.500 0.994 0.994
Y 0.745 0.231 0.231
Y 0.747 0.789 0.789
Y 0.759 0.298 0.720
Y 0.759 0.720 0.298
Mg 0.000 0.470 0.470

Results
The formation energy comes out at 50 meV/atom. The value obtained for the total energy is -0.4405 Ry per atom.

Entry 9:
The following is a GGA-PBE calculation of a geometry-optimized Dy3Y3Mg structure, from Alexandria via LeMat-Bulk.

Lattice parameters (Å, degrees): 14.313 14.313 14.313 24.93 24.93 24.93
Element x y z (fractional)
Dy 0.132 0.465 0.799
Dy 0.201 0.868 0.535
Dy 0.465 0.799 0.132
Dy 0.535 0.201 0.868
Dy 0.799 0.132 0.465
Dy 0.868 0.535 0.201
Y 0.064 0.728 0.400
Y 0.272 0.600 0.936
Y 0.400 0.064 0.728
Y 0.600 0.936 0.272
Y 0.728 0.400 0.064
Y 0.936 0.272 0.600
Mg 0.333 0.333 0.333
Mg 0.667 0.667 0.667

Results
The formation energy comes out at 104 meV/atom. The value obtained for the total energy is -0.3576 Ry per atom. The calculation puts the offset from the most stable computed form at 92 meV per atom.

Entry 10:
The following is a GGA-PBE calculation of a geometry-optimized Dy3YMg structure, from Alexandria via LeMat-Bulk.

Lattice parameters (Å, degrees): 9.886 9.886 6.491 100.76 100.76 81.03
Element x y z (fractional)
Dy 0.096 0.711 0.544
Dy 0.122 0.490 0.859
Dy 0.220 0.370 0.351
Dy 0.289 0.904 0.956
Dy 0.370 0.220 0.851
Dy 0.490 0.122 0.359
Dy 0.510 0.878 0.641
Dy 0.630 0.780 0.149
Dy 0.711 0.096 0.044
Dy 0.780 0.630 0.649
Dy 0.878 0.510 0.141
Dy 0.904 0.289 0.456
Y 0.025 0.177 0.947
Y 0.177 0.025 0.447
Y 0.823 0.975 0.553
Y 0.975 0.823 0.053
Mg 0.331 0.669 0.250
Mg 0.427 0.573 0.750
Mg 0.573 0.427 0.250
Mg 0.669 0.331 0.750

Results
The formation energy comes out at 38 meV/atom. The value obtained for the total energy is -0.3186 Ry per atom. The calculation puts the offset from the most stable computed form at 59 meV per atom.